Entry 1:
Below is crystalline KMoAu3S4 at its relaxed geometry, with properties calculated at the GGA-PBE level.

Lattice parameters (Å, degrees): 6.194 6.194 6.194 90.00 90.00 90.00
Each line ends with the local moment (μB).
Sites, in units of the cell vectors:
Au  0.500  0.500  0.000  0.10
Au  0.000  0.500  0.500  0.01
S  0.717  0.283  0.717  0.02
S  0.717  0.717  0.283  0.02
S  0.283  0.717  0.717  0.02
Au  0.500  0.000  0.500  0.06
Mo  0.500  0.500  0.500  1.31
S  0.283  0.283  0.283  0.03
K  0.000  0.000  0.000  0.00

Properties
Raw total energy (eV/atom): -4.47
Magnetic moment (Bohr magnetons per cell): 1.790

***

Entry 2:
Below is crystalline KMoAuSe2S at its relaxed geometry, with properties calculated at the GGA-PBE level.

Lattice parameters (Å, degrees): 7.699 7.699 10.003 90.00 90.00 150.74
Each line ends with the local moment (μB).
Sites, in units of the cell vectors:
Se  0.380  0.620  0.522  -0.04
Mo  0.000  0.000  0.500  1.95
Au  0.450  0.550  0.750  -0.01
S  0.939  0.061  0.250  -0.07
Se  0.620  0.380  0.022  -0.04
K  0.750  0.250  0.750  0.00
Mo  0.000  0.000  0.000  1.94
S  0.061  0.939  0.750  -0.07
Se  0.620  0.380  0.478  -0.04
Se  0.380  0.620  0.978  -0.04
K  0.250  0.750  0.250  0.00
Au  0.550  0.450  0.250  -0.01

Properties
Raw total energy (eV/atom): -4.74
Magnetic moment (Bohr magnetons per cell): 3.995